(1)
A plane-wave DFT calculation with meta-GGA SCAN was carried out for a crystal of NaAlSiO4 relaxed with PBEsol.

a b c (Å): 9.124 9.124 9.124
angles (deg): 90.49 90.49 90.49
Atoms (fractional coordinates):
Na 0.036 0.480 0.484
Na 0.480 0.484 0.036
Na 0.484 0.036 0.480
Na 0.536 0.984 0.980
Na 0.980 0.536 0.984
Na 0.984 0.980 0.536
Al 0.002 0.250 0.761
Al 0.250 0.761 0.002
Al 0.261 0.750 0.502
Al 0.502 0.261 0.750
Al 0.750 0.502 0.261
Al 0.761 0.002 0.250
Si 0.004 0.753 0.254
Si 0.253 0.504 0.754
Si 0.254 0.004 0.753
Si 0.504 0.754 0.253
Si 0.753 0.254 0.004
Si 0.754 0.253 0.504
O 0.095 0.787 0.106
O 0.106 0.095 0.787
O 0.106 0.707 0.394
O 0.109 0.402 0.715
O 0.207 0.606 0.894
O 0.215 0.902 0.609
O 0.287 0.595 0.606
O 0.306 0.910 0.895
O 0.394 0.106 0.707
O 0.395 0.410 0.806
O 0.402 0.715 0.109
O 0.410 0.806 0.395
O 0.595 0.606 0.287
O 0.606 0.287 0.595
O 0.606 0.894 0.207
O 0.609 0.215 0.902
O 0.707 0.394 0.106
O 0.715 0.109 0.402
O 0.787 0.106 0.095
O 0.806 0.395 0.410
O 0.894 0.207 0.606
O 0.895 0.306 0.910
O 0.902 0.609 0.215
O 0.910 0.895 0.306

raw formation energy: -2973.4 meV per atom

---

(2)
A plane-wave DFT calculation with meta-GGA SCAN was carried out for a crystal of RbNaZr2Cu relaxed with PBEsol.

a b c (Å): 4.999 4.999 5.942
angles (deg): 90.00 90.00 90.00
Atoms (fractional coordinates):
Rb 0.000 0.000 0.000
Na 0.500 0.500 0.000
Zr 0.000 0.500 0.500
Zr 0.500 0.000 0.500
Cu 0.500 0.500 0.500

DFT formation energy: 3.947 eV/f.u.

---

Number 1: electronic total energy -406.329 eV for the cell shown. Number 2: electronic total energy -97.604 eV for the cell shown.